Run A
VASP calculation (PBE-GGA) on crystalline TbHoPO at its relaxed geometry.

Calculated values
SG = P4/nmm, No. 129
Spin magnetization = 0.01 μB/f.u.
ρ = 7.8 g cm⁻³

abc: 4.307 4.307 8.552
angles: 90.00 90.00 90.00
Positions (direct):
Ho 0.000 0.000 0.500
Ho 0.500 0.500 0.500
O 0.000 0.000 0.000
O 0.500 0.500 0.000
P 0.500 0.000 0.305
P 0.000 0.500 0.695
Tb 0.000 0.500 0.105
Tb 0.500 0.000 0.895

***

Run B
VASP calculation (PBE-GGA) on crystalline TbHoPO at its relaxed geometry.

Calculated values
SG = P4/nmm, No. 129
Spin magnetization = 0.01 μB/f.u.
ρ = 7.8 g cm⁻³

abc: 4.299 4.299 8.539
angles: 90.00 90.00 90.00
Positions (direct):
Ho 0.000 0.500 0.101
Ho 0.500 0.000 0.899
O 0.000 0.000 0.000
O 0.500 0.500 0.000
P 0.500 0.000 0.300
P 0.000 0.500 0.700
Tb 0.000 0.000 0.500
Tb 0.500 0.500 0.500

***

Stability, lowest: run B

***

Run A
VASP calculation (PBE-GGA) on crystalline Nb at its relaxed geometry.

Calculated values
SG = P6_3/mmc, No. 194
Spin magnetization = 0.00 μB/f.u.
ρ = 7.0 g cm⁻³

abc: 4.542 4.542 4.929
angles: 90.00 90.00 120.00
Positions (direct):
Nb 0.000 0.000 0.250
Nb 0.333 0.667 0.250
Nb 0.000 0.000 0.750
Nb 0.667 0.333 0.750

***

Run B
VASP calculation (PBE-GGA) on crystalline Nb at its relaxed geometry.

Calculated values
SG = Pm-3n, No. 223
Spin magnetization = 0.00 μB/f.u.
ρ = 8.2 g cm⁻³

abc: 5.311 5.311 5.311
angles: 90.00 90.00 90.00
Positions (direct):
Nb 0.000 0.000 0.000
Nb 0.500 0.250 0.000
Nb 0.500 0.750 0.000
Nb 0.000 0.500 0.250
Nb 0.250 0.000 0.500
Nb 0.750 0.000 0.500
Nb 0.500 0.500 0.500
Nb 0.000 0.500 0.750

***

Stability, lowest: run A

***

Run A
VASP calculation (PBE-GGA) on crystalline RbDyTeO at its relaxed geometry.

Calculated values
SG = R3m, No. 160
Spin magnetization = 0.01 μB/f.u.
ρ = 6.4 g cm⁻³

abc: 8.066 8.066 8.066
angles: 27.98 27.98 27.98
Positions (direct):
Dy 0.480 0.480 0.480
O 0.774 0.774 0.774
Rb 0.012 0.012 0.012
Te 0.233 0.233 0.233

***

Run B
VASP calculation (PBE-GGA) on crystalline RbDyTeO at its relaxed geometry.

Calculated values
SG = Pmc2_1, No. 26
Spin magnetization = 0.00 μB/f.u.
ρ = 4.4 g cm⁻³

abc: 4.809 8.702 7.003
angles: 90.00 90.00 90.00
Positions (direct):
Dy 0.500 0.895 0.026
Dy 0.500 0.105 0.526
O 0.500 0.076 0.224
O 0.500 0.924 0.724
Rb 0.000 0.288 0.117
Rb 0.000 0.712 0.617
Te 0.000 0.707 0.123
Te 0.000 0.293 0.623

***

Stability, lowest: run A

***

Run A
VASP calculation (PBE-GGA) on crystalline NiHgBiPd at its relaxed geometry.

Calculated values
SG = F-43m, No. 216
Spin magnetization = 0.00 μB/f.u.
ρ = 12.7 g cm⁻³

abc: 4.736 4.736 4.736
angles: 60.00 60.00 60.00
Positions (direct):
Bi 0.000 0.000 0.000
Hg 0.500 0.500 0.500
Ni 0.750 0.750 0.750
Pd 0.250 0.250 0.250

***

Run B
VASP calculation (PBE-GGA) on crystalline NiHgBiPd at its relaxed geometry.

Calculated values
SG = F-43m, No. 216
Spin magnetization = 0.00 μB/f.u.
ρ = 12.5 g cm⁻³

abc: 4.767 4.767 4.767
angles: 60.00 60.00 60.00
Positions (direct):
Bi 0.000 0.000 0.000
Hg 0.250 0.250 0.250
Ni 0.750 0.750 0.750
Pd 0.500 0.500 0.500

***

Stability, lowest: run B